# 1
## SrScGe2Os (PBE)

Data for SrScGe2Os after structural relaxation. Values from VASP.

The structure in Quantum ESPRESSO input format:
```
&SYSTEM
  ibrav = 0, nat = 5, ntyp = 4
/
ATOMIC_SPECIES
Sr 87.62 Sr.upf
Sc 44.96 Sc.upf
Ge 72.64 Ge.upf
Os 190.23 Os.upf
ATOMIC_POSITIONS angstrom
Sr 0.000 0.000 0.000
Sc 2.415 2.415 0.000
Ge 0.000 2.415 2.834
Ge 2.415 0.000 2.834
Os 0.000 0.000 2.834
CELL_PARAMETERS angstrom
4.830 0.000 0.000
0.000 4.830 0.000
0.000 0.000 5.667
```

Summary:
* DFT total energy: -5.29 eV per atom
* energy of formation from the pure elements: 0.40 eV per atom

=====

# 2
## ScTc2GeOs (PBE)

Data for ScTc2GeOs after structural relaxation. Values from VASP.

The structure in Quantum ESPRESSO input format:
```
&SYSTEM
  ibrav = 0, nat = 5, ntyp = 4
/
ATOMIC_SPECIES
Sc 44.96 Sc.upf
Tc 98.00 Tc.upf
Ge 72.64 Ge.upf
Os 190.23 Os.upf
ATOMIC_POSITIONS angstrom
Sc 0.000 0.000 0.000
Tc 0.000 2.230 0.000
Tc 2.230 0.000 0.000
Ge 0.000 0.000 2.368
Os 2.230 2.230 2.368
CELL_PARAMETERS angstrom
4.461 0.000 0.000
0.000 4.461 0.000
0.000 0.000 4.736
```

Summary:
* DFT total energy: -6.52 eV per atom
* energy of formation from the pure elements: 2.06 eV per atom

=====

# 3
## ScTi2GeOs (PBE)

Data for ScTi2GeOs after structural relaxation. Values from VASP.

The structure in Quantum ESPRESSO input format:
```
&SYSTEM
  ibrav = 0, nat = 5, ntyp = 4
/
ATOMIC_SPECIES
Sc 44.96 Sc.upf
Ti 47.87 Ti.upf
Ge 72.64 Ge.upf
Os 190.23 Os.upf
ATOMIC_POSITIONS angstrom
Sc 0.000 0.000 0.000
Ti 0.000 2.390 2.362
Ti 2.390 0.000 2.362
Ge 2.390 2.390 0.000
Os 2.390 2.390 2.362
CELL_PARAMETERS angstrom
4.781 0.000 0.000
0.000 4.781 0.000
0.000 0.000 4.723
```

Summary:
* DFT total energy: -7.28 eV per atom
* energy of formation from the pure elements: 0.32 eV per atom

=====

# 4
## Zr2ScGeOs (PBE)

Data for Zr2ScGeOs after structural relaxation. Values from VASP.

The structure in Quantum ESPRESSO input format:
```
&SYSTEM
  ibrav = 0, nat = 5, ntyp = 4
/
ATOMIC_SPECIES
Zr 91.22 Zr.upf
Sc 44.96 Sc.upf
Ge 72.64 Ge.upf
Os 190.23 Os.upf
ATOMIC_POSITIONS angstrom
Zr 0.000 2.549 0.000
Zr 2.549 0.000 0.000
Sc 0.000 0.000 2.365
Ge 2.549 2.549 2.365
Os 2.549 2.549 0.000
CELL_PARAMETERS angstrom
5.097 0.000 0.000
0.000 5.097 0.000
0.000 0.000 4.731
```

Summary:
* DFT total energy: -7.56 eV per atom
* energy of formation from the pure elements: 0.29 eV per atom

=====

# 5
## GeOs3Se (PBE)

Data for GeOs3Se after structural relaxation. Values from VASP.

The structure in Quantum ESPRESSO input format:
```
&SYSTEM
  ibrav = 0, nat = 5, ntyp = 3
/
ATOMIC_SPECIES
Ge 72.64 Ge.upf
Os 190.23 Os.upf
Se 78.96 Se.upf
ATOMIC_POSITIONS angstrom
Ge 0.000 0.000 0.000
Os 0.000 0.000 2.278
Os 0.000 2.278 0.000
Os 2.278 0.000 0.000
Se 2.278 2.278 2.278
CELL_PARAMETERS angstrom
4.557 0.000 0.000
0.000 4.557 0.000
0.000 0.000 4.557
```

Summary:
* DFT total energy: -6.39 eV per atom
* formation energy from raw total energies: 1.968 eV per atom

=====

# 6
## Ge2OsSe (PBE)

Data for Ge2OsSe after structural relaxation. Values from VASP.

The structure in Quantum ESPRESSO input format:
```
&SYSTEM
  ibrav = 0, nat = 16, ntyp = 3
/
ATOMIC_SPECIES
Ge 72.64 Ge.upf
Os 190.23 Os.upf
Se 78.96 Se.upf
ATOMIC_POSITIONS angstrom
Ge 1.227 1.451 1.423
Ge 1.451 4.129 4.270
Ge 1.451 4.578 9.963
Ge 1.675 1.451 7.116
Ge 4.129 4.353 7.116
Ge 4.353 1.227 9.963
Ge 4.353 1.675 4.270
Ge 4.578 4.353 1.423
Os 0.000 0.000 0.000
Os 0.000 2.902 2.846
Os 2.902 0.000 8.539
Os 2.902 2.902 5.693
Se 0.000 0.000 5.693
Se 0.000 2.902 8.539
Se 2.902 0.000 2.846
Se 2.902 2.902 0.000
CELL_PARAMETERS angstrom
5.804 0.000 0.000
0.000 5.804 0.000
0.000 0.000 11.386
```

Summary:
* DFT total energy: -5.61 eV per atom
* formation energy from raw total energies: 0.377 eV per atom